VASP calculation (GGA-PBE) on a relaxed BaNi2Pb crystal.

Computed properties:
total energy	-4.179	eV/atom
polymorph energy (0 for the lowest one)	210.3	meV per atom
magnetization	0.00	μB per formula unit
formation energy from the elements	0.119	eV/atom

a b c (Å): 5.065 5.065 9.461
angles (deg): 74.47 74.47 90.00
Sites, in units of the cell vectors:
1 Pb 0.000 0.000 0.000
2 Pb 0.750 0.250 0.500
3 Ni 0.874 0.125 0.250
4 Ni 0.876 0.625 0.250
5 Ni 0.375 0.126 0.750
6 Ni 0.875 0.124 0.750
7 Ba 0.500 0.500 0.000
8 Ba 0.250 0.750 0.500